Record 1
Computed, not measured: a geometry-optimized KRb3Tc structure at the PBE level of DFT.

Summary:
Energy of formation from the pure elements: 1.028 eV per atom
DOS at the Fermi energy: 22.43 states/eV/cell
M_tot: 0.61 μB/atom
Symmetry: Pm-3m
Calculated total energy: -0.06780 Ha/atom

Unit cell a=7.0373 b=7.0373 c=7.0373 alpha=90.00 beta=90.00 gamma=90.00
Last column: nearest neighbours and their distance in Å.
Sites, in units of the cell vectors:
K: 0.5000 0.5000 0.5000  12 Rb 4.98
Rb: 0.5000 0.0000 0.0000  2 Tc 3.52
Rb: 0.0000 0.0000 0.5000  2 Tc 3.52
Rb: 0.0000 0.5000 0.0000  2 Tc 3.52
Tc: 0.0000 0.0000 0.0000  6 Rb 3.52


Record 2
Computed, not measured: a geometry-optimized KRb3Tc structure at the PBE level of DFT.

Summary:
Energy of formation from the pure elements: 1.388 eV per atom
DOS at the Fermi energy: 11.83 states/eV/cell
M_tot: 0.79 μB/atom
Symmetry: Pm-3m
Calculated total energy: -0.05460 Ha/atom

Unit cell a=7.5692 b=7.5692 c=7.5692 alpha=90.00 beta=90.00 gamma=90.00
Last column: nearest neighbours and their distance in Å.
Sites, in units of the cell vectors:
Rb: 0.0000 0.5000 0.0000  2 K 3.78
Rb: 0.0000 0.0000 0.5000  2 K 3.78
Rb: 0.5000 0.0000 0.0000  2 K 3.78
Tc: 0.5000 0.5000 0.5000  12 Rb 5.35
K: 0.0000 0.0000 0.0000  6 Rb 3.78


Record 3
Computed, not measured: a geometry-optimized K3RbTc structure at the PBE level of DFT.

Summary:
Energy of formation from the pure elements: 1.458 eV per atom
DOS at the Fermi energy: 19.29 states/eV/cell
M_tot: 0.74 μB/atom
Symmetry: Pm-3m
Calculated total energy: -0.05392 Ha/atom

Unit cell a=7.3161 b=7.3161 c=7.3161 alpha=90.00 beta=90.00 gamma=90.00
Last column: nearest neighbours and their distance in Å.
Sites, in units of the cell vectors:
Tc: 0.5000 0.5000 0.5000  12 K 5.17
K: 0.0000 0.5000 0.0000  2 Rb 3.66
K: 0.5000 0.0000 0.0000  2 Rb 3.66
K: 0.0000 0.0000 0.5000  2 Rb 3.66
Rb: 0.0000 0.0000 0.0000  6 K 3.66


Record 4
Computed, not measured: a geometry-optimized K2RbTc structure at the PBE level of DFT.

Summary:
Energy of formation from the pure elements: 1.210 eV per atom
DOS at the Fermi energy: 14.52 states/eV/cell
M_tot: 0.91 μB/atom
Symmetry: Fm-3m
Calculated total energy: -0.07981 Ha/atom

Unit cell a=6.4054 b=6.4054 c=6.4054 alpha=60.00 beta=60.00 gamma=60.00
Last column: nearest neighbours and their distance in Å.
Sites, in units of the cell vectors:
K: 0.2500 0.2500 0.2500  4 Tc 3.92, 4 Rb 3.92
K: 0.7500 0.7500 0.7500  4 Tc 3.92, 4 Rb 3.92
Rb: 0.0000 0.0000 0.0000  8 K 3.92
Tc: 0.5000 0.5000 0.5000  8 K 3.92


Record 5
Computed, not measured: a geometry-optimized KRbTc2Te structure at the PBE level of DFT.

Summary:
DOS at the Fermi energy: 3.58 states/eV/cell
M_tot: 1.40 μB/atom
Symmetry: P4/mmm
Calculated total energy: -0.11250 Ha/atom

Unit cell a=5.3628 b=5.8331 c=5.3628 alpha=90.00 beta=90.00 gamma=90.00
Last column: nearest neighbours and their distance in Å.
Sites, in units of the cell vectors:
Tc: 0.5000 0.0000 0.0000  2 K 2.68
Tc: 0.0000 0.0000 0.5000  2 K 2.68
Rb: 0.0000 0.5000 0.0000  2 K 2.92
Te: 0.5000 0.5000 0.5000  4 Rb 3.79, 8 Tc 3.96
K: 0.0000 0.0000 0.0000  4 Tc 2.68, 2 Rb 2.92


Record 6
Computed, not measured: a geometry-optimized KRbV2Tc structure at the PBE level of DFT.

Summary:
Energy of formation from the pure elements: 2.874 eV per atom
DOS at the Fermi energy: 14.79 states/eV/cell
M_tot: 2.33 μB/atom
Symmetry: P4/mmm
Calculated total energy: -0.11979 Ha/atom

Unit cell a=5.4189 b=5.6925 c=5.4189 alpha=90.00 beta=90.00 gamma=90.00
Last column: nearest neighbours and their distance in Å.
Sites, in units of the cell vectors:
V: 0.0000 0.0000 0.5000  2 Rb 2.71
V: 0.5000 0.0000 0.0000  2 Rb 2.71
Tc: 0.5000 0.5000 0.5000  4 K 3.83, 8 V 3.93
Rb: 0.0000 0.0000 0.0000  4 V 2.71, 2 K 2.85
K: 0.0000 0.5000 0.0000  2 Rb 2.85


Record 7
Computed, not measured: a geometry-optimized K2RbVTc structure at the PBE level of DFT.

Summary:
Energy of formation from the pure elements: 1.880 eV per atom
DOS at the Fermi energy: 10.20 states/eV/cell
M_tot: 0.20 μB/atom
Symmetry: P4/mmm
Calculated total energy: -0.09736 Ha/atom

Unit cell a=6.5015 b=6.6305 c=6.5015 alpha=90.00 beta=90.00 gamma=90.00
Last column: nearest neighbours and their distance in Å.
Sites, in units of the cell vectors:
Tc: 0.5000 0.5000 0.5000  4 Rb 4.60, 8 K 4.64
K: 0.5000 0.0000 0.0000  2 V 3.25
K: 0.0000 0.0000 0.5000  2 V 3.25
V: 0.0000 0.0000 0.0000  4 K 3.25, 2 Rb 3.32
Rb: 0.0000 0.5000 0.0000  2 V 3.32


Record 8
Computed, not measured: a geometry-optimized KRbY2Tc structure at the PBE level of DFT.

Summary:
Energy of formation from the pure elements: 0.524 eV per atom
DOS at the Fermi energy: 6.41 states/eV/cell
M_tot: 0.06 μB/atom
Symmetry: P4/mmm
Calculated total energy: -0.16713 Ha/atom

Unit cell a=5.3447 b=5.3447 c=6.9548 alpha=90.00 beta=90.00 gamma=90.00
Last column: nearest neighbours and their distance in Å.
Sites, in units of the cell vectors:
Y: 0.0000 0.5000 0.0000  2 Tc 2.67
Y: 0.5000 0.0000 0.0000  2 Tc 2.67
Rb: 0.5000 0.5000 0.5000  4 K 3.78
Tc: 0.0000 0.0000 0.0000  4 Y 2.67
K: 0.0000 0.0000 0.5000  2 Tc 3.48, 4 Rb 3.78